[1]
## YTeHO2 (PBE-GGA)

Data for a relaxed structure of YTeHO2.

```
data_YTeHO2
_cell_length_a 4.482
_cell_length_b 3.737
_cell_length_c 4.482
_cell_angle_alpha 90.00
_cell_angle_beta 90.00
_cell_angle_gamma 90.00
_space_group_name_H-M_alt 'P 1'
_space_group_IT_number 1
_space_group_name_Hall 'P 1'
loop_
_atom_site_label
_atom_site_type_symbol
_atom_site_fract_x
_atom_site_fract_y
_atom_site_fract_z
Y1 Y 0.500 0.500 0.500
H1 H 0.000 0.500 0.000
Te1 Te 0.000 0.000 0.000
O1 O 0.000 0.000 0.500
O2 O 0.500 0.000 0.000
```

crystal system	tetragonal
calculated density	5.5	g/cm³
N(E_F)	0.49	states/eV/atom
total magnetic moment	0.00	μB per formula unit
calculated total energy	-26.105	eV for the cell shown
V	15.01	Å³/atom

***

[2]
## Zn2TeHO6 (PBE-GGA)

Data for a relaxed structure of Zn2TeHO6.

```
data_Zn2TeHO6
_cell_length_a 5.127
_cell_length_b 4.361
_cell_length_c 9.216
_cell_angle_alpha 90.00
_cell_angle_beta 90.00
_cell_angle_gamma 90.00
_space_group_name_H-M_alt 'P 1'
_space_group_IT_number 1
_space_group_name_Hall 'P 1'
loop_
_atom_site_label
_atom_site_type_symbol
_atom_site_fract_x
_atom_site_fract_y
_atom_site_fract_z
Zn1 Zn 0.000 0.000 0.190
Zn2 Zn 0.500 0.500 0.310
Zn3 Zn 0.500 0.500 0.690
Zn4 Zn 0.000 0.000 0.810
Te1 Te 0.000 0.500 0.500
Te2 Te 0.500 0.000 0.000
H1 H 0.000 0.500 0.000
H2 H 0.500 0.000 0.500
O1 O 0.834 0.269 0.652
O2 O 0.847 0.258 0.000
O3 O 0.834 0.268 0.348
O4 O 0.666 0.768 0.152
O5 O 0.653 0.758 0.500
O6 O 0.666 0.769 0.848
O7 O 0.334 0.231 0.152
O8 O 0.347 0.242 0.500
O9 O 0.334 0.232 0.848
O10 O 0.153 0.742 0.000
O11 O 0.166 0.732 0.652
O12 O 0.166 0.731 0.348
```

crystal system	orthorhombic
calculated density	5.7	g/cm³
N(E_F)	0.76	states/eV/atom
total magnetic moment	1.02	μB per formula unit
calculated total energy	-95.172	eV for the cell shown
V	10.30	Å³/atom

***

[3]
## ThHO (PBE-GGA)

Data for a relaxed structure of ThHO.

```
data_ThHO
_cell_length_a 3.850
_cell_length_b 3.941
_cell_length_c 3.941
_cell_angle_alpha 120.00
_cell_angle_beta 90.00
_cell_angle_gamma 90.00
_space_group_name_H-M_alt 'P 1'
_space_group_IT_number 1
_space_group_name_Hall 'P 1'
loop_
_atom_site_label
_atom_site_type_symbol
_atom_site_fract_x
_atom_site_fract_y
_atom_site_fract_z
H1 H 0.506 0.333 0.667
O1 O 0.198 0.000 0.000
Th1 Th 0.297 0.667 0.333
```

crystal system	trigonal
calculated density	8.0	g/cm³
N(E_F)	0.19	states/eV/atom
total magnetic moment	0.00	μB per formula unit
E above lowest polymorph	303	meV per atom
V	17.26	Å³/atom